(1)
First-principles (GGA-PBE) data for KBeTeN2 after structural relaxation, as listed in the Alexandria database.

extended XYZ file:
```
5
Lattice="4.732 0.000 0.000 0.000 4.732 0.000 0.000 0.000 6.998" Properties=species:S:1:pos:R:3 pbc="T T T"
K 0.000 0.000 0.000
Be 2.366 2.366 3.499
Te 0.000 0.000 3.499
N 0.000 2.366 0.000
N 2.366 0.000 0.000
```

## Properties
Energy above the lowest structure with this stoichiometry, kJ per mole of atoms: 103.4
N(E_F), states/eV per cell: 2.5

(2)
First-principles (GGA-PBE) data for KBeTe2N after structural relaxation, as listed in the Alexandria database.

extended XYZ file:
```
5
Lattice="5.973 0.000 0.000 0.000 5.973 0.000 0.000 0.000 4.341" Properties=species:S:1:pos:R:3 pbc="T T T"
K 0.000 0.000 0.000
Be 2.987 2.987 2.170
Te 0.000 2.987 0.000
Te 2.987 0.000 0.000
N 0.000 0.000 2.170
```

## Properties
Energy above the lowest structure with this stoichiometry, kJ per mole of atoms: 200.3
N(E_F), states/eV per cell: 7.4

(3)
First-principles (GGA-PBE) data for KBeTe2N after structural relaxation, as listed in the Alexandria database.

extended XYZ file:
```
5
Lattice="6.086 0.000 0.000 0.000 6.086 0.000 0.000 0.000 3.133" Properties=species:S:1:pos:R:3 pbc="T T T"
K 0.000 0.000 0.000
Be 3.043 3.043 1.567
Te 0.000 3.043 1.567
Te 3.043 0.000 1.567
N 3.043 3.043 0.000
```

## Properties
Energy above the lowest structure with this stoichiometry, kJ per mole of atoms: 0.0
N(E_F), states/eV per cell: 4.7

(4)
First-principles (GGA-PBE) data for KBeTeN2 after structural relaxation, as listed in the Alexandria database.

extended XYZ file:
```
5
Lattice="4.335 0.000 0.000 0.000 4.335 0.000 0.000 0.000 4.962" Properties=species:S:1:pos:R:3 pbc="T T T"
K 0.000 0.000 0.000
Be 2.167 2.167 2.481
Te 2.167 2.167 0.000
N 0.000 2.167 2.481
N 2.167 0.000 2.481
```

## Properties
Energy above the lowest structure with this stoichiometry, kJ per mole of atoms: 0.0
N(E_F), states/eV per cell: 4.6

(5)
First-principles (GGA-PBE) data for K4U3BeN8 after structural relaxation, as listed in the Alexandria database.

extended XYZ file:
```
16
Lattice="6.146 -3.339 0.000 6.146 3.339 0.000 -3.836 0.000 6.351" Properties=species:S:1:pos:R:3 pbc="T T T"
K 0.000 0.000 0.000
K 3.073 1.669 0.000
K 3.073 -1.669 0.000
K 6.146 0.000 0.000
U -1.918 0.000 3.176
U 1.155 1.669 3.176
U 1.155 -1.669 3.176
Be 4.228 0.000 3.176
N 3.205 1.660 4.112
N 0.151 0.000 4.227
N 1.794 0.000 2.020
N 5.251 1.660 2.239
N 3.205 -1.660 4.112
N 6.661 0.000 4.331
N 8.305 0.000 2.124
N 5.251 -1.660 2.239
```

(6)
First-principles (GGA-PBE) data for KUBeN3 after structural relaxation, as listed in the Alexandria database.

extended XYZ file:
```
12
Lattice="7.558 0.000 0.000 0.000 3.449 0.000 -2.506 0.000 7.286" Properties=species:S:1:pos:R:3 pbc="T T T"
K 1.134 0.862 2.106
K 3.918 2.587 5.180
U 0.480 0.862 5.969
U 4.572 2.587 1.317
Be -0.689 2.587 4.133
Be 5.741 0.862 3.153
N -1.270 0.862 4.741
N 0.922 2.587 4.743
N 2.694 2.587 0.060
N 2.358 0.862 7.226
N 4.130 0.862 2.543
N 6.322 2.587 2.546
```

no.,electronic total energy (hartree per atom)
1,-0.093
2,-0.065
3,-0.141
4,-0.132
5,-0.276
6,-0.288